## NiSbP (GGA-PBE)

Data for a relaxed NiSbP crystal.

Geometry as CIF:
```
data_NiSbP
_cell_length_a 3.954
_cell_length_b 5.173
_cell_length_c 6.037
_cell_angle_alpha 111.75
_cell_angle_beta 90.03
_cell_angle_gamma 90.13
_symmetry_space_group_name_H-M 'P 1'
_symmetry_Int_Tables_number 1
loop_
_symmetry_equiv_pos_as_xyz
'x,y,z'
loop_
_atom_site_label
_atom_site_fract_x
_atom_site_fract_y
_atom_site_fract_z
Ni1 0.000 0.000 0.000
Ni2 0.500 0.204 0.837
Sb1 0.496 0.477 0.274
Sb2 0.499 0.680 0.803
P1 0.997 0.840 0.296
P2 0.999 0.127 0.673
```

Output
VASP energy (eV/f.u.): -15.669
ΔE_f (raw) (eV per formula unit): -0.4
Total magnetization (μB/f.u.): 0.0
ΔE to the lowest computed polymorph (eV per atom): 0.115